[1]
! NaHg2H8, optimized geometry, DFT PBE-GGA; values from VASP
&SYSTEM
  ibrav = 0, nat = 11, ntyp = 3
/
ATOMIC_SPECIES
Na 22.99 Na.upf
Hg 200.59 Hg.upf
H 1.01 H.upf
ATOMIC_POSITIONS crystal
Na 0.0000 0.0000 0.0000
Hg 0.3215 0.3215 0.8240
Hg 0.6785 0.6785 0.1760
H 0.0072 0.1949 0.6122
H 0.1949 0.0072 0.6122
H 0.2031 0.2031 0.2004
H 0.4940 0.4940 0.5767
H 0.5060 0.5060 0.4233
H 0.7969 0.7969 0.7996
H 0.8051 0.9928 0.3878
H 0.9928 0.8051 0.3878
CELL_PARAMETERS angstrom
7.0822 -2.0217 0.0000
7.0822 2.0217 0.0000
-1.3428 0.0000 4.4092
! **N(E_F)**: 0.9 states/eV/f.u.
! **Total energy**: -2.46 eV per atom
! **Space group**: C2/m

=====

[2]
! Na2HgH, optimized geometry, DFT PBE-GGA; values from VASP
&SYSTEM
  ibrav = 0, nat = 4, ntyp = 3
/
ATOMIC_SPECIES
Na 22.99 Na.upf
Hg 200.59 Hg.upf
H 1.01 H.upf
ATOMIC_POSITIONS crystal
Na 0.0000 0.0000 0.0000
Na 0.2145 0.2145 0.2145
Hg 0.4403 0.4403 0.4403
H 0.6071 0.6071 0.6071
CELL_PARAMETERS angstrom
1.7062 0.9851 8.0469
-1.7062 0.9851 8.0469
0.0000 -1.9701 8.0469
! **Polymorph energy (0 for the lowest one)**: 0 meV per atom
! **N(E_F)**: 0.4 states/eV/f.u.
! **Total energy**: -1.73 eV per atom
! **Space group**: R3m

=====

[3]
! Na2HgH, optimized geometry, DFT PBE-GGA; values from VASP
&SYSTEM
  ibrav = 0, nat = 4, ntyp = 3
/
ATOMIC_SPECIES
Na 22.99 Na.upf
Hg 200.59 Hg.upf
H 1.01 H.upf
ATOMIC_POSITIONS crystal
Na 0.2261 0.2261 0.2261
Na 0.7739 0.7739 0.7739
Hg 0.0000 0.0000 0.0000
H 0.5000 0.5000 0.5000
CELL_PARAMETERS angstrom
1.7061 0.9850 8.0442
-1.7061 0.9850 8.0442
0.0000 -1.9701 8.0442
! **Polymorph energy (0 for the lowest one)**: 1 meV per atom
! **N(E_F)**: 0.7 states/eV/f.u.
! **Total energy**: -1.73 eV per atom
! **Space group**: R-3m

=====

[4]
! Na2HgH, optimized geometry, DFT PBE-GGA; values from VASP
&SYSTEM
  ibrav = 0, nat = 8, ntyp = 3
/
ATOMIC_SPECIES
Na 22.99 Na.upf
Hg 200.59 Hg.upf
H 1.01 H.upf
ATOMIC_POSITIONS crystal
Na 0.0191 0.6250 0.8941
Na 0.3750 0.2691 0.3941
Na 0.7309 0.1250 0.1059
Na 0.8750 0.9809 0.6059
Hg 0.2500 0.7500 0.5000
Hg 0.5000 0.5000 0.0000
H 0.0000 0.0000 0.0000
H 0.7500 0.2500 0.5000
CELL_PARAMETERS angstrom
-3.6136 3.6136 3.3811
3.6136 -3.6136 3.3811
3.6136 3.6136 -3.3811
! **Polymorph energy (0 for the lowest one)**: 74 meV per atom
! **N(E_F)**: 1.8 states/eV/f.u.
! **Total energy**: -1.65 eV per atom
! **Space group**: I-42d

=====

[5]
! NaHgH2, optimized geometry, DFT PBE-GGA; values from VASP
&SYSTEM
  ibrav = 0, nat = 8, ntyp = 3
/
ATOMIC_SPECIES
Na 22.99 Na.upf
Hg 200.59 Hg.upf
H 1.01 H.upf
ATOMIC_POSITIONS crystal
Na 0.2500 0.0000 0.2476
Na 0.7500 0.0000 0.7524
Hg 0.2500 0.5000 0.7479
Hg 0.7500 0.5000 0.2521
H 0.0177 0.5000 0.2514
H 0.4823 0.5000 0.2514
H 0.5177 0.5000 0.7486
H 0.9823 0.5000 0.7486
CELL_PARAMETERS angstrom
6.4350 0.0000 0.0000
0.0000 3.4940 0.0000
0.0000 0.0000 5.7803
! **Polymorph energy (0 for the lowest one)**: 19 meV per atom
! **N(E_F)**: 0.9 states/eV/f.u.
! **Total energy**: -1.93 eV per atom
! **Space group**: Pmma

=====

[6]
! NaHg2H6, optimized geometry, DFT PBE-GGA; values from VASP
&SYSTEM
  ibrav = 0, nat = 9, ntyp = 3
/
ATOMIC_SPECIES
Na 22.99 Na.upf
Hg 200.59 Hg.upf
H 1.01 H.upf
ATOMIC_POSITIONS crystal
Na 0.0000 0.0000 0.0000
Hg 0.1673 0.8327 0.5000
Hg 0.8327 0.1673 0.5000
H 0.0049 0.5066 0.0662
H 0.4929 0.4929 0.9350
H 0.4934 0.9951 0.9338
H 0.5066 0.0049 0.0662
H 0.5071 0.5071 0.0650
H 0.9951 0.4934 0.9338
CELL_PARAMETERS angstrom
2.6500 -4.6927 0.0000
2.6500 4.6927 0.0000
-0.4332 0.0000 5.8765
! **N(E_F)**: 1.6 states/eV/f.u.
! **Total energy**: -2.43 eV per atom
! **Space group**: C2/m